{
  "formula": "LuMgCuSn",
  "functional": "GGA-PBE",
  "state": "relaxed",
  "lattice_angstrom": [[6.900, 0.000, 0.000], [0.000, 6.900, 0.000], [0.000, 0.000, 6.900]],
  "species": ["Lu", "Lu", "Lu", "Lu", "Mg", "Mg", "Mg", "Mg", "Cu", "Cu", "Cu", "Cu", "Sn", "Sn", "Sn", "Sn"],
  "fractional_positions": [[0.000, 0.000, 0.000], [0.000, 0.500, 0.500], [0.500, 0.000, 0.500], [0.500, 0.500, 0.000], [0.250, 0.250, 0.250], [0.250, 0.750, 0.750], [0.750, 0.250, 0.750], [0.750, 0.750, 0.250], [0.250, 0.250, 0.750], [0.250, 0.750, 0.250], [0.750, 0.250, 0.250], [0.750, 0.750, 0.750], [0.000, 0.000, 0.500], [0.000, 0.500, 0.000], [0.500, 0.000, 0.000], [0.500, 0.500, 0.500]],
  "spacegroup": "F-43m",
  "e_tot_ev_per_atom": -3.552,
  "de_polymorph_kcal_per_mol_atoms": 0.000,
  "magnetic_moment_mub_per_fu": 0.00
}